1.
KIn2Se | PBE | optimized geometry

Summary:
raw formation energy	-0.39	eV/atom
density	4.4	g cm⁻³

a = 6.1837 Å, b = 8.5209 Å, c = 5.0175 Å
α = 90.00°, β = 90.00°, γ = 90.00°
With the nearest neighbours (Å) after each atom.
Space group Cmmm (No. 65)
Unique sites:
K  0.0000  0.0000  0.0000 [2 per cell]  2 Se 3.09
In  0.0000  0.3100  0.5000 [4 per cell]  2 Se 2.99, 3 In 3.24-3.26
Se  0.0000  0.5000  0.0000 [2 per cell]  4 In 2.99, 2 K 3.09

2.
Nd2CdSn | PBE | optimized geometry

Summary:
calculated formation energy	-0.3040	eV per atom
density	6.8	g cm⁻³

a = 3.9612 Å, b = 3.9612 Å, c = 28.0678 Å
α = 90.00°, β = 90.00°, γ = 120.00°
With the nearest neighbours (Å) after each atom.
Space group R-3m (No. 166, hexagonal axes)
Unique sites:
Nd  0.0000  0.0000  0.2478 [6 per cell]  3 Sn 3.23, 3 Cd 3.32
Cd  0.0000  0.0000  0.0000 [3 per cell]  6 Nd 3.32
Sn  0.0000  0.0000  0.5000 [3 per cell]  6 Nd 3.23

3.
SrAl6Zn12 | PBE | optimized geometry

Summary:
calculated formation energy	0.0304	eV per atom
density	5.0	g cm⁻³

a = 11.3966 Å, b = 11.3966 Å, c = 9.2246 Å
α = 90.00°, β = 90.00°, γ = 120.00°
With the nearest neighbours (Å) after each atom.
Space group R-3m (No. 166, hexagonal axes)
Unique sites:
Sr  0.0000  0.0000  0.0000 [3 per cell]  6 Zn 3.16
Al  0.0605  0.5303  0.2295 [18 per cell]  8 Zn 2.59-2.86
Zn  0.0000  0.3923  0.5000 [18 per cell]  3 Zn 2.46-2.75, 2 Al 2.59
Zn  0.0822  0.1645  0.2936 [18 per cell]  4 Al 2.70-2.86, 4 Zn 2.75-2.81

4.
RbCo2Pb | PBE | optimized geometry

Summary:
calculated formation energy	0.8176	eV per atom
density	6.0	g cm⁻³

a = 4.9782 Å, b = 4.9782 Å, c = 18.2782 Å
α = 90.00°, β = 90.00°, γ = 90.00°
With the nearest neighbours (Å) after each atom.
Space group I4_1/amd (No. 141, origin choice 2)
Unique sites:
Rb  0.0000  0.2500  0.3750 [4 per cell]  4 Pb 3.52, 8 Co 3.60
Co  0.0000  0.0000  0.0000 [8 per cell]  2 Co 2.49, 2 Pb 2.60
Pb  0.0000  0.2500  0.8750 [4 per cell]  4 Co 2.60

5.
YCoTc2 | PBE | optimized geometry

Summary:
calculated formation energy	0.3089	eV per atom
density	8.6	g cm⁻³
energy relative to the lowest polymorph listed for this composition	203.1	meV/atom

a = 3.1981 Å, b = 4.7216 Å, c = 8.8291 Å
α = 90.00°, β = 90.00°, γ = 90.00°
With the nearest neighbours (Å) after each atom.
Space group Imm2 (No. 44)
Unique sites:
Y  0.0000  0.0000  0.0000 [2 per cell]  8 Tc 2.85-3.07, 4 Co 2.89-3.10
Co  0.0000  0.5000  0.7728 [2 per cell]  2 Tc 2.55
Tc  0.0000  0.0000  0.4984 [2 per cell]  2 Tc 2.54, 2 Co 2.55
Tc  0.0000  0.5000  0.2223 [2 per cell]  2 Tc 2.54

6.
Ca2PrHg | PBE | optimized geometry

Summary:
calculated formation energy	-0.1662	eV per atom
density	5.1	g cm⁻³
energy relative to the lowest polymorph listed for this composition	52.3	meV/atom

a = 3.8399 Å, b = 3.8399 Å, c = 32.4091 Å
α = 90.00°, β = 90.00°, γ = 120.00°
With the nearest neighbours (Å) after each atom.
Space group R3m (No. 160, hexagonal axes)
Unique sites:
Ca  0.0000  0.0000  0.0000 [3 per cell]  3 Hg 3.21
Ca  0.0000  0.0000  0.1912 [3 per cell]  3 Hg 3.19
Pr  0.0000  0.0000  0.4299 [3 per cell]  6 Ca 3.78-3.84, 6 Pr 3.84
Hg  0.0000  0.0000  0.5951 [3 per cell]  6 Ca 3.19-3.21